A relaxed DyMnAs2Rh5 crystal, computed with PBE.

abc: 4.021 4.021 11.732
angles: 90.00 90.00 90.00
Space group P4/mmm (No. 123)
Unique sites:
Dy: 0.000 0.000 0.000 [1 per cell]
Mn: 0.500 0.500 0.500 [1 per cell]
As: 0.500 0.500 0.293 [2 per cell]
Rh: 0.000 0.500 0.178 [4 per cell]
Rh: 0.500 0.500 0.000 [1 per cell]

Results
Final energy in eV per atom: -6.81
Crystal system: tetragonal
Density of states at the Fermi level in states/eV per cell: 7.1
ΔH_f (0 K) in meV/atom: -160.4